! GaMoF2, optimized geometry, DFT PBE+U; values from VASP
&SYSTEM
  ibrav = 0, nat = 4, ntyp = 3
/
ATOMIC_SPECIES
Ga 69.72 Ga.upf
Mo 95.94 Mo.upf
F 19.00 F.upf
CELL_PARAMETERS angstrom
0.000 3.007 3.007
3.007 0.000 3.007
3.007 3.007 0.000
ATOMIC_POSITIONS angstrom
Ga 0.000 0.000 0.000
Mo 3.007 3.007 3.007
F 1.504 1.504 1.504
F 4.511 4.511 4.511
! Excess energy over the best structure of this formula in the dataset: 705.7 meV/atom
! Crystal system: cubic